Record 1
Computed, not measured: a relaxed LaCeHgGe crystal at the PBE level of DFT.

```
data_LaCeHgGe
_chemical_formula_sum 'La1 Ce1 Hg1 Ge1'
_symmetry_space_group_name_H-M 'P 1'
_symmetry_Int_Tables_number 1
_symmetry_space_group_name_Hall 'P 1'
_cell_length_a 5.3549
_cell_length_b 5.3549
_cell_length_c 5.3549
_cell_angle_alpha 60.00
_cell_angle_beta 60.00
_cell_angle_gamma 60.00
loop_
_atom_site_label
_atom_site_fract_x
_atom_site_fract_y
_atom_site_fract_z
La1 0.0000 0.0000 0.0000
Ce1 0.5000 0.5000 0.5000
Hg1 0.7500 0.7500 0.7500
Ge1 0.2500 0.2500 0.2500
```

Formation enthalpy at 0 K ... -0.51 eV per atom
Final energy ... -4.452 eV per atom
Crystal system ... cubic
SG ... F-43m
Magnetization ... 1.1 μB per formula unit
Fermi-level density of states ... 2.593 states/eV/atom

Record 2
Computed, not measured: a relaxed LiSmEuIr crystal at the PBE level of DFT.

```
data_LiSmEuIr
_chemical_formula_sum 'Li1 Sm1 Eu1 Ir1'
_symmetry_space_group_name_H-M 'P 1'
_symmetry_Int_Tables_number 1
_symmetry_space_group_name_Hall 'P 1'
_cell_length_a 5.0403
_cell_length_b 5.0403
_cell_length_c 5.0403
_cell_angle_alpha 60.00
_cell_angle_beta 60.00
_cell_angle_gamma 60.00
loop_
_atom_site_label
_atom_site_fract_x
_atom_site_fract_y
_atom_site_fract_z
Li1 0.0000 0.0000 0.0000
Sm1 0.2500 0.2500 0.2500
Eu1 0.7500 0.7500 0.7500
Ir1 0.5000 0.5000 0.5000
```

Formation enthalpy at 0 K ... -0.36 eV per atom
Final energy ... -6.797 eV per atom
Crystal system ... cubic
SG ... F-43m
Magnetization ... 7.1 μB per formula unit
Fermi-level density of states ... 0.674 states/eV/atom

Record 3
Computed, not measured: a relaxed KTe2HF crystal at the PBE level of DFT.

```
data_KTe2HF
_chemical_formula_sum 'K1 Te2 H1 F1'
_symmetry_space_group_name_H-M 'P 1'
_symmetry_Int_Tables_number 1
_symmetry_space_group_name_Hall 'P 1'
_cell_length_a 4.3068
_cell_length_b 4.3068
_cell_length_c 7.2965
_cell_angle_alpha 90.00
_cell_angle_beta 90.00
_cell_angle_gamma 90.00
loop_
_atom_site_label
_atom_site_fract_x
_atom_site_fract_y
_atom_site_fract_z
K1 0.0000 0.0000 0.0000
Te1 0.0000 0.5000 0.5000
Te2 0.5000 0.0000 0.5000
H1 0.5000 0.5000 0.5000
F1 0.5000 0.5000 0.0000
```

Final energy ... -3.147 eV per atom
Crystal system ... tetragonal
SG ... P4/mmm
Energy above the lowest structure with this stoichiometry ... 0.000 eV/f.u.
Magnetization ... 0.0 μB per formula unit
Fermi-level density of states ... 0.277 states/eV/atom

Record 4
Computed, not measured: a relaxed ZrVFe crystal at the PBE level of DFT.

```
data_ZrVFe
_chemical_formula_sum 'Zr1 V1 Fe1'
_symmetry_space_group_name_H-M 'P 1'
_symmetry_Int_Tables_number 1
_symmetry_space_group_name_Hall 'P 1'
_cell_length_a 5.6498
_cell_length_b 5.6498
_cell_length_c 5.6498
_cell_angle_alpha 149.64
_cell_angle_beta 149.64
_cell_angle_gamma 43.47
loop_
_atom_site_label
_atom_site_fract_x
_atom_site_fract_y
_atom_site_fract_z
Zr1 0.0000 0.0000 0.0000
V1 0.3030 0.3030 0.0000
Fe1 0.6910 0.6910 0.0000
```

Formation enthalpy at 0 K ... -0.03 eV per atom
Final energy ... -8.741 eV per atom
Crystal system ... tetragonal
SG ... I4mm
Energy above the lowest structure with this stoichiometry ... 0.514 eV/f.u.
Magnetization ... 0.5 μB per formula unit
Fermi-level density of states ... 1.168 states/eV/atom

Record 5
Computed, not measured: a relaxed LaY2HoTe6 crystal at the PBE level of DFT.

```
data_LaY2HoTe6
_chemical_formula_sum 'La1 Y2 Ho1 Te6'
_symmetry_space_group_name_H-M 'P 1'
_symmetry_Int_Tables_number 1
_symmetry_space_group_name_Hall 'P 1'
_cell_length_a 8.3711
_cell_length_b 8.3711
_cell_length_c 8.3711
_cell_angle_alpha 55.64
_cell_angle_beta 55.64
_cell_angle_gamma 55.64
loop_
_atom_site_label
_atom_site_fract_x
_atom_site_fract_y
_atom_site_fract_z
La1 0.0000 0.0000 0.0000
Y1 0.3061 0.3061 0.3061
Y2 0.8092 0.8092 0.8092
Ho1 0.4950 0.4950 0.4950
Te1 0.0870 0.6932 0.4225
Te2 0.2146 0.5822 0.9012
Te3 0.4225 0.0870 0.6932
Te4 0.5822 0.9012 0.2146
Te5 0.6932 0.4225 0.0870
Te6 0.9012 0.2146 0.5822
```

Final energy ... -5.534 eV per atom
Crystal system ... trigonal
SG ... R3
Uncorrected formation energy ... -14.06 eV per formula unit
Magnetization ... 0.0 μB per formula unit

Record 6
Computed, not measured: a relaxed NaSmSe2O7 crystal at the PBE level of DFT.

```
data_NaSmSe2O7
_chemical_formula_sum 'Na4 Sm4 Se8 O28'
_symmetry_space_group_name_H-M 'P 1'
_symmetry_Int_Tables_number 1
_symmetry_space_group_name_Hall 'P 1'
_cell_length_a 10.9762
_cell_length_b 7.0097
_cell_length_c 8.3121
_cell_angle_alpha 90.00
_cell_angle_beta 91.23
_cell_angle_gamma 90.00
loop_
_atom_site_label
_atom_site_fract_x
_atom_site_fract_y
_atom_site_fract_z
Na1 0.0653 0.1248 0.3142
Na2 0.0653 0.3752 0.8142
Na3 0.9347 0.6248 0.1858
Na4 0.9347 0.8752 0.6858
Sm1 0.4116 0.6448 0.6945
Sm2 0.4116 0.8552 0.1945
Sm3 0.5884 0.1448 0.8055
Sm4 0.5884 0.3552 0.3055
Se1 0.1611 0.6403 0.4551
Se2 0.1611 0.8597 0.9551
Se3 0.3332 0.1672 0.5602
Se4 0.3332 0.3328 0.0602
Se5 0.6668 0.6672 0.9398
Se6 0.6668 0.8328 0.4398
Se7 0.8389 0.1403 0.0449
Se8 0.8389 0.3597 0.5449
O1 0.0596 0.6840 0.9552
O2 0.0596 0.8160 0.4552
O3 0.1166 0.0265 0.8253
O4 0.1166 0.4735 0.3253
O5 0.1899 0.5545 0.6418
O6 0.1899 0.9455 0.1418
O7 0.3045 0.7190 0.4201
O8 0.3045 0.7810 0.9201
O9 0.3337 0.1124 0.3611
O10 0.3337 0.3876 0.8611
O11 0.4174 0.5089 0.1612
O12 0.4174 0.9911 0.6612
O13 0.4509 0.1616 0.0644
O14 0.4509 0.3384 0.5644
O15 0.5491 0.6616 0.4356
O16 0.5491 0.8384 0.9356
O17 0.5826 0.0089 0.3388
O18 0.5826 0.4911 0.8388
O19 0.6663 0.6124 0.1389
O20 0.6663 0.8876 0.6389
O21 0.6955 0.2190 0.0799
O22 0.6955 0.2810 0.5799
O23 0.8101 0.0545 0.8582
O24 0.8101 0.4455 0.3582
O25 0.8834 0.5265 0.6747
O26 0.8834 0.9735 0.1747
O27 0.9404 0.1840 0.5448
O28 0.9404 0.3160 0.0448
```

Final energy ... -5.967 eV per atom
Crystal system ... monoclinic
SG ... P2_1/c
Uncorrected formation energy ... -17.93 eV per formula unit
Magnetization ... 0.0 μB per formula unit
Fermi-level density of states ... 0.000 states/eV/atom

Record 7
Computed, not measured: a relaxed SrMnH3 crystal at the PBE level of DFT.

```
data_SrMnH3
_chemical_formula_sum 'Sr1 Mn1 H3'
_symmetry_space_group_name_H-M 'P 1'
_symmetry_Int_Tables_number 1
_symmetry_space_group_name_Hall 'P 1'
_cell_length_a 3.7641
_cell_length_b 3.7641
_cell_length_c 3.7641
_cell_angle_alpha 90.00
_cell_angle_beta 90.00
_cell_angle_gamma 90.00
loop_
_atom_site_label
_atom_site_fract_x
_atom_site_fract_y
_atom_site_fract_z
Sr1 0.0000 0.0000 0.0000
Mn1 0.5000 0.5000 0.5000
H1 0.0000 0.5000 0.5000
H2 0.5000 0.0000 0.5000
H3 0.5000 0.5000 0.0000
```

Final energy ... -4.395 eV per atom
Crystal system ... cubic
SG ... Pm-3m
Energy above the lowest structure with this stoichiometry ... 0.000 eV/f.u.
Magnetization ... 3.0 μB per formula unit
Fermi-level density of states ... 0.812 states/eV/atom

Record 8
Computed, not measured: a relaxed Nd4GeP2 crystal at the PBE level of DFT.

```
data_Nd4GeP2
_chemical_formula_sum 'Nd8 Ge2 P4'
_symmetry_space_group_name_H-M 'P 1'
_symmetry_Int_Tables_number 1
_symmetry_space_group_name_Hall 'P 1'
_cell_length_a 7.0741
_cell_length_b 7.0741
_cell_length_c 13.8601
_cell_angle_alpha 90.00
_cell_angle_beta 90.00
_cell_angle_gamma 145.57
loop_
_atom_site_label
_atom_site_fract_x
_atom_site_fract_y
_atom_site_fract_z
Nd1 0.0000 0.0000 0.0000
Nd2 0.0000 0.0000 0.5000
Nd3 0.2727 0.7273 0.6207
Nd4 0.2727 0.7273 0.8793
Nd5 0.4515 0.5485 0.2500
Nd6 0.5485 0.4515 0.7500
Nd7 0.7273 0.2727 0.1207
Nd8 0.7273 0.2727 0.3793
Ge1 0.1079 0.8921 0.2500
Ge2 0.8921 0.1079 0.7500
P1 0.3630 0.6370 0.0623
P2 0.3630 0.6370 0.4377
P3 0.6370 0.3630 0.5623
P4 0.6370 0.3630 0.9377
```

Formation enthalpy at 0 K ... -1.14 eV per atom
Final energy ... -6.067 eV per atom
Crystal system ... orthorhombic
SG ... Cmcm
Magnetization ... 0.6 μB per formula unit
Fermi-level density of states ... 0.710 states/eV/atom

Record 9
Computed, not measured: a relaxed La2SnOs2 crystal at the PBE level of DFT.

```
data_La2SnOs2
_chemical_formula_sum 'La4 Sn2 Os4'
_symmetry_space_group_name_H-M 'P 1'
_symmetry_Int_Tables_number 1
_symmetry_space_group_name_Hall 'P 1'
_cell_length_a 7.2639
_cell_length_b 7.2639
_cell_length_c 4.5838
_cell_angle_alpha 90.00
_cell_angle_beta 90.00
_cell_angle_gamma 90.00
loop_
_atom_site_label
_atom_site_fract_x
_atom_site_fract_y
_atom_site_fract_z
La1 0.1814 0.3186 0.0000
La2 0.3186 0.8186 0.0000
La3 0.6814 0.1814 0.0000
La4 0.8186 0.6814 0.0000
Sn1 0.0000 0.0000 0.5000
Sn2 0.5000 0.5000 0.5000
Os1 0.1163 0.6163 0.5000
Os2 0.3837 0.1163 0.5000
Os3 0.6163 0.8837 0.5000
Os4 0.8837 0.3837 0.5000
```

Formation enthalpy at 0 K ... -0.15 eV per atom
Final energy ... -7.415 eV per atom
Crystal system ... tetragonal
SG ... P4/mbm
Energy above the lowest structure with this stoichiometry ... 0.000 eV/f.u.
Magnetization ... 0.0 μB per formula unit
Fermi-level density of states ... 0.858 states/eV/atom

Record 10
Computed, not measured: a relaxed Ca3Ga2Au9 crystal at the PBE level of DFT.

```
data_Ca3Ga2Au9
_chemical_formula_sum 'Ca3 Ga2 Au9'
_symmetry_space_group_name_H-M 'P 1'
_symmetry_Int_Tables_number 1
_symmetry_space_group_name_Hall 'P 1'
_cell_length_a 8.7165
_cell_length_b 8.7165
_cell_length_c 8.7165
_cell_angle_alpha 151.81
_cell_angle_beta 103.65
_cell_angle_gamma 83.26
loop_
_atom_site_label
_atom_site_fract_x
_atom_site_fract_y
_atom_site_fract_z
Ca1 0.0000 0.0000 0.0000
Ca2 0.2986 0.2986 0.0000
Ca3 0.7014 0.7014 0.0000
Ga1 0.3041 0.5000 0.8041
Ga2 0.6959 0.5000 0.1959
Au1 0.0230 0.6494 0.3735
Au2 0.1595 0.8631 0.2965
Au3 0.2759 0.6494 0.6265
Au4 0.4334 0.1369 0.2965
Au5 0.5000 0.0000 0.5000
Au6 0.5666 0.8631 0.7035
Au7 0.7241 0.3506 0.3735
Au8 0.8405 0.1369 0.7035
Au9 0.9770 0.3506 0.6265
```

Formation enthalpy at 0 K ... -0.52 eV per atom
Final energy ... -3.489 eV per atom
Crystal system ... orthorhombic
SG ... Immm
Magnetization ... 0.0 μB per formula unit
Fermi-level density of states ... 0.441 states/eV/atom

Record 11
Computed, not measured: a relaxed SrAg2CO4 crystal at the PBE level of DFT.

```
data_SrAg2CO4
_chemical_formula_sum 'Sr1 Ag2 C1 O4'
_symmetry_space_group_name_H-M 'P 1'
_symmetry_Int_Tables_number 1
_symmetry_space_group_name_Hall 'P 1'
_cell_length_a 5.1741
_cell_length_b 5.1741
_cell_length_c 5.1741
_cell_angle_alpha 109.78
_cell_angle_beta 109.78
_cell_angle_gamma 108.86
loop_
_atom_site_label
_atom_site_fract_x
_atom_site_fract_y
_atom_site_fract_z
Sr1 0.0000 0.0000 0.0000
Ag1 0.0000 0.5000 0.5000
Ag2 0.5000 0.0000 0.5000
C1 0.5000 0.5000 0.0000
O1 0.2271 0.2271 0.7185
O2 0.4914 0.7729 0.0000
O3 0.5086 0.5086 0.2815
O4 0.7729 0.4914 0.0000
```

Final energy ... -5.630 eV per atom
Crystal system ... tetragonal
SG ... I-42m
Uncorrected formation energy ... -8.60 eV per formula unit
Magnetization ... 0.0 μB per formula unit

Record 12
Computed, not measured: a relaxed LaTa2P crystal at the PBE level of DFT.

```
data_LaTa2P
_chemical_formula_sum 'La1 Ta2 P1'
_symmetry_space_group_name_H-M 'P 1'
_symmetry_Int_Tables_number 1
_symmetry_space_group_name_Hall 'P 1'
_cell_length_a 5.0541
_cell_length_b 5.0541
_cell_length_c 5.0541
_cell_angle_alpha 126.75
_cell_angle_beta 126.75
_cell_angle_gamma 78.66
loop_
_atom_site_label
_atom_site_fract_x
_atom_site_fract_y
_atom_site_fract_z
La1 0.0000 0.0000 0.0000
Ta1 0.5000 0.5000 0.0000
Ta2 0.7500 0.2500 0.5000
P1 0.2500 0.7500 0.5000
```

Formation enthalpy at 0 K ... 0.29 eV per atom
Final energy ... -8.222 eV per atom
Crystal system ... tetragonal
SG ... I-4m2
Magnetization ... 0.0 μB per formula unit
Fermi-level density of states ... 1.114 states/eV/atom

Record 13
Computed, not measured: a relaxed Ti3V2Mo7 crystal at the PBE level of DFT.

```
data_Ti3V2Mo7
_chemical_formula_sum 'Ti3 V2 Mo7'
_symmetry_space_group_name_H-M 'P 1'
_symmetry_Int_Tables_number 1
_symmetry_space_group_name_Hall 'P 1'
_cell_length_a 10.5442
_cell_length_b 10.5442
_cell_length_c 4.6042
_cell_angle_alpha 90.00
_cell_angle_beta 90.00
_cell_angle_gamma 156.49
loop_
_atom_site_label
_atom_site_fract_x
_atom_site_fract_y
_atom_site_fract_z
Ti1 0.0000 0.0000 0.0000
Ti2 0.1591 0.8409 0.0000
Ti3 0.8409 0.1591 0.0000
V1 0.3560 0.6440 0.5000
V2 0.6440 0.3560 0.5000
Mo1 0.0768 0.9232 0.5000
Mo2 0.2187 0.7813 0.5000
Mo3 0.4233 0.5767 0.0000
Mo4 0.5000 0.5000 0.5000
Mo5 0.5767 0.4233 0.0000
Mo6 0.7813 0.2187 0.5000
Mo7 0.9232 0.0768 0.5000
```

Formation enthalpy at 0 K ... 0.30 eV per atom
Final energy ... -9.509 eV per atom
Crystal system ... orthorhombic
SG ... Cmmm
Magnetization ... 0.0 μB per formula unit
Fermi-level density of states ... 1.164 states/eV/atom

Record 14
Computed, not measured: a relaxed BeCu2PI crystal at the PBE level of DFT.

```
data_BeCu2PI
_chemical_formula_sum 'Be1 Cu2 P1 I1'
_symmetry_space_group_name_H-M 'P 1'
_symmetry_Int_Tables_number 1
_symmetry_space_group_name_Hall 'P 1'
_cell_length_a 4.1895
_cell_length_b 4.1895
_cell_length_c 8.0963
_cell_angle_alpha 90.00
_cell_angle_beta 90.00
_cell_angle_gamma 90.00
loop_
_atom_site_label
_atom_site_fract_x
_atom_site_fract_y
_atom_site_fract_z
Be1 0.0000 0.0000 0.0000
Cu1 0.0000 0.5000 0.5000
Cu2 0.5000 0.0000 0.5000
P1 0.5000 0.5000 0.5000
I1 0.5000 0.5000 0.0000
```

Final energy ... -3.122 eV per atom
Crystal system ... tetragonal
SG ... P4/mmm
Uncorrected formation energy ... 3.27 eV per formula unit
Magnetization ... 0.0 μB per formula unit
Fermi-level density of states ... 0.323 states/eV/atom

Record 15
Computed, not measured: a relaxed Tb7Dy2Tm crystal at the PBE level of DFT.

```
data_Tb7Dy2Tm
_chemical_formula_sum 'Tb7 Dy2 Tm1'
_symmetry_space_group_name_H-M 'P 1'
_symmetry_Int_Tables_number 1
_symmetry_space_group_name_Hall 'P 1'
_cell_length_a 9.5899
_cell_length_b 9.5899
_cell_length_c 5.1950
_cell_angle_alpha 90.00
_cell_angle_beta 90.00
_cell_angle_gamma 126.34
loop_
_atom_site_label
_atom_site_fract_x
_atom_site_fract_y
_atom_site_fract_z
Tb1 0.0000 0.0000 0.0000
Tb2 0.2124 0.4288 0.0000
Tb3 0.3028 0.6972 0.5000
Tb4 0.4288 0.2124 0.0000
Tb5 0.5712 0.7876 0.0000
Tb6 0.6972 0.3028 0.5000
Tb7 0.7876 0.5712 0.0000
Dy1 0.2024 0.7976 0.0000
Dy2 0.7976 0.2024 0.0000
Tm1 0.5000 0.5000 0.5000
```

Formation enthalpy at 0 K ... 0.69 eV per atom
Final energy ... -3.923 eV per atom
Crystal system ... orthorhombic
SG ... Cmmm
Energy above the lowest structure with this stoichiometry ... 6.678 eV/f.u.
Magnetization ... 0.0 μB per formula unit
Fermi-level density of states ... 1.197 states/eV/atom